[1]
# BeGeP2Cl

A relaxed structure of BeGeP2Cl (PBEsol, the Alexandria database).

Cell lengths 4.673, 4.673, 4.708 Å; angles 90.00, 90.00, 90.00 degrees
Positions (direct):
Be  0.000  0.000  0.000
Ge  0.500  0.500  0.500
P  0.000  0.500  0.500
P  0.500  0.000  0.500
Cl  0.500  0.500  0.000

Results
SG: P4/mmm
Formation energy without anion corrections in eV/atom: 1.023
Crystal system: tetragonal
Total magnetic moment in μB/f.u.: 0.00



[2]
# Be2GePbCl

A relaxed structure of Be2GePbCl (PBEsol, the Alexandria database).

Cell lengths 4.338, 4.338, 5.516 Å; angles 90.00, 90.00, 90.00 degrees
Positions (direct):
Be  0.000  0.500  0.000
Be  0.500  0.000  0.000
Ge  0.000  0.000  0.500
Pb  0.500  0.500  0.500
Cl  0.500  0.500  0.000

Results
SG: P4/mmm
Formation energy without anion corrections in eV/atom: 0.980
Crystal system: tetragonal
Total magnetic moment in μB/f.u.: 0.00



[3]
# LaBe2HCl

A relaxed structure of LaBe2HCl (PBEsol, the Alexandria database).

Cell lengths 5.836, 5.836, 5.412 Å; angles 90.00, 90.00, 90.00 degrees
Positions (direct):
La  0.000  0.000  0.000
Be  0.000  0.500  0.000
Be  0.500  0.000  0.000
H  0.500  0.500  0.500
Cl  0.000  0.000  0.500

Results
VASP energy in eV/cell: -12.492
SG: P4/mmm
Crystal system: tetragonal
Total magnetic moment in μB/f.u.: 0.44



[4]
# Be2PHCl

A relaxed structure of Be2PHCl (PBEsol, the Alexandria database).

Cell lengths 4.203, 4.203, 3.186 Å; angles 90.00, 90.00, 90.00 degrees
Positions (direct):
Be  0.000  0.500  0.000
Be  0.500  0.000  0.000
P  0.000  0.000  0.500
H  0.500  0.500  0.500
Cl  0.500  0.500  0.000

Results
VASP energy in eV/cell: -15.912
SG: P4/mmm
Crystal system: tetragonal
Total magnetic moment in μB/f.u.: 0.00



[5]
# BeSiHCl2

A relaxed structure of BeSiHCl2 (PBEsol, the Alexandria database).

Cell lengths 4.158, 4.158, 4.992 Å; angles 90.00, 90.00, 90.00 degrees
Positions (direct):
Be  0.000  0.000  0.000
Si  0.000  0.000  0.500
H  0.500  0.500  0.500
Cl  0.000  0.500  0.000
Cl  0.500  0.000  0.000

Results
VASP energy in eV/cell: -14.815
SG: P4/mmm
Crystal system: tetragonal
Total magnetic moment in μB/f.u.: 0.00



[6]
# Be2HgCl

A relaxed structure of Be2HgCl (PBEsol, the Alexandria database).

Cell lengths 2.934, 5.889, 7.566 Å; angles 90.00, 90.00, 90.00 degrees
Positions (direct):
Be  0.000  0.000  0.237
Be  0.000  0.000  0.763
Be  0.500  0.500  0.263
Be  0.500  0.500  0.737
Hg  0.000  0.500  0.000
Hg  0.500  0.000  0.500
Cl  0.000  0.500  0.500
Cl  0.500  0.000  0.000

Results
SG: Immm
Formation energy without anion corrections in eV/atom: 0.387
Crystal system: orthorhombic
E above lowest polymorph in meV/atom: 0
Total magnetic moment in μB/f.u.: 0.00



[7]
# Be2HgCl

A relaxed structure of Be2HgCl (PBEsol, the Alexandria database).

Cell lengths 6.598, 6.598, 6.598 Å; angles 90.00, 90.00, 90.00 degrees
Positions (direct):
Be  0.000  0.000  0.000
Be  0.000  0.500  0.500
Be  0.250  0.250  0.250
Be  0.250  0.750  0.750
Be  0.500  0.000  0.500
Be  0.500  0.500  0.000
Be  0.750  0.250  0.750
Be  0.750  0.750  0.250
Hg  0.250  0.250  0.750
Hg  0.250  0.750  0.250
Hg  0.750  0.250  0.250
Hg  0.750  0.750  0.750
Cl  0.000  0.000  0.500
Cl  0.000  0.500  0.000
Cl  0.500  0.000  0.000
Cl  0.500  0.500  0.500

Results
SG: F-43m
Formation energy without anion corrections in eV/atom: 0.986
Crystal system: cubic
E above lowest polymorph in meV/atom: 598
Total magnetic moment in μB/f.u.: 0.00



[8]
# BeHgCl2

A relaxed structure of BeHgCl2 (PBEsol, the Alexandria database).

Cell lengths 3.279, 3.275, 9.150 Å; angles 90.00, 100.07, 90.00 degrees
Positions (direct):
Be  0.000  0.000  0.000
Hg  0.239  0.500  0.480
Cl  0.566  0.000  0.134
Cl  0.935  0.500  0.866

Results
SG: Pm
Formation energy without anion corrections in eV/atom: -0.960
Crystal system: monoclinic
E above lowest polymorph in meV/atom: 0
Total magnetic moment in μB/f.u.: 0.00



[9]
# BeHgCl2

A relaxed structure of BeHgCl2 (PBEsol, the Alexandria database).

Cell lengths 3.052, 6.637, 9.856 Å; angles 90.00, 90.00, 90.00 degrees
Positions (direct):
Be  0.000  0.000  0.000
Be  0.500  0.500  0.000
Hg  0.000  0.000  0.500
Hg  0.500  0.500  0.500
Cl  0.000  0.500  0.147
Cl  0.000  0.500  0.853
Cl  0.500  0.000  0.147
Cl  0.500  0.000  0.853

Results
SG: Cmmm
Formation energy without anion corrections in eV/atom: -0.713
Crystal system: orthorhombic
E above lowest polymorph in meV/atom: 247
Total magnetic moment in μB/f.u.: 0.00



[10]
# YBeHg2Cl

A relaxed structure of YBeHg2Cl (PBEsol, the Alexandria database).

Cell lengths 4.625, 4.625, 4.904 Å; angles 90.00, 90.00, 90.00 degrees
Positions (direct):
Y  0.000  0.000  0.000
Be  0.500  0.500  0.500
Hg  0.000  0.500  0.500
Hg  0.500  0.000  0.500
Cl  0.500  0.500  0.000

Results
SG: P4/mmm
Formation energy without anion corrections in eV/atom: -0.179
Crystal system: tetragonal
Total magnetic moment in μB/f.u.: 0.00



[11]
# BeICl3

A relaxed structure of BeICl3 (PBEsol, the Alexandria database).

Cell lengths 5.401, 5.401, 5.401 Å; angles 90.00, 90.00, 90.00 degrees
Positions (direct):
Be  0.000  0.000  0.000
I  0.500  0.500  0.500
Cl  0.000  0.500  0.500
Cl  0.500  0.000  0.500
Cl  0.500  0.500  0.000

Results
SG: Pm-3m
Formation energy without anion corrections in eV/atom: 0.602
Crystal system: cubic
Total magnetic moment in μB/f.u.: 0.51



[12]
# Be2ICl

A relaxed structure of Be2ICl (PBEsol, the Alexandria database).

Cell lengths 6.447, 6.447, 6.837 Å; angles 90.00, 90.00, 90.00 degrees
Positions (direct):
Be  0.221  0.250  0.125
Be  0.250  0.721  0.375
Be  0.250  0.779  0.875
Be  0.279  0.250  0.625
Be  0.721  0.750  0.625
Be  0.750  0.221  0.875
Be  0.750  0.279  0.375
Be  0.779  0.750  0.125
I  0.000  0.000  0.500
I  0.000  0.500  0.750
I  0.500  0.000  0.250
I  0.500  0.500  0.000
Cl  0.000  0.000  0.000
Cl  0.000  0.500  0.250
Cl  0.500  0.000  0.750
Cl  0.500  0.500  0.500

Results
SG: I-42d
Formation energy without anion corrections in eV/atom: 0.442
Crystal system: tetragonal
Total magnetic moment in μB/f.u.: 0.00



[13]
# BeIN2Cl

A relaxed structure of BeIN2Cl (PBEsol, the Alexandria database).

Cell lengths 3.725, 3.725, 5.934 Å; angles 90.00, 90.00, 90.00 degrees
Positions (direct):
Be  0.000  0.000  0.000
I  0.000  0.000  0.500
N  0.000  0.500  0.000
N  0.500  0.000  0.000
Cl  0.500  0.500  0.500

Results
SG: P4/mmm
Formation energy without anion corrections in eV/atom: 1.379
Crystal system: tetragonal
Total magnetic moment in μB/f.u.: 2.38



[14]
# BeS2ICl

A relaxed structure of BeS2ICl (PBEsol, the Alexandria database).

Cell lengths 4.580, 4.580, 4.201 Å; angles 90.00, 90.00, 90.00 degrees
Positions (direct):
Be  0.000  0.000  0.000
S  0.000  0.500  0.000
S  0.500  0.000  0.000
I  0.500  0.500  0.500
Cl  0.000  0.000  0.500

Results
SG: P4/mmm
Formation energy without anion corrections in eV/atom: 0.053
Crystal system: tetragonal
Total magnetic moment in μB/f.u.: 0.00



[15]
# BeSbI2Cl

A relaxed structure of BeSbI2Cl (PBEsol, the Alexandria database).

Cell lengths 5.610, 5.610, 5.230 Å; angles 90.00, 90.00, 90.00 degrees
Positions (direct):
Be  0.000  0.000  0.000
Sb  0.500  0.500  0.000
I  0.000  0.500  0.500
I  0.500  0.000  0.500
Cl  0.500  0.500  0.500

Results
SG: P4/mmm
Formation energy without anion corrections in eV/atom: 1.064
Crystal system: tetragonal
Total magnetic moment in μB/f.u.: 0.00